Record 1
Material: LaTmLuSc
Method: DFT, PBE
State: optimized geometry

Properties
E	-4.97	eV per atom

```
data_LaTmLuSc
_chemical_formula_sum 'La4 Tm4 Lu4 Sc4'
_cell_length_a 7.859
_cell_length_b 7.859
_cell_length_c 7.859
_cell_angle_alpha 90.00
_cell_angle_beta 90.00
_cell_angle_gamma 90.00
_space_group_name_H-M_alt 'F -4 3 m'
_space_group_IT_number 216
_space_group_name_Hall 'F -4 2 3'
loop_
_atom_site_label
_atom_site_type_symbol
_atom_site_fract_x
_atom_site_fract_y
_atom_site_fract_z
La1 La 0.000 0.000 0.000
Tm1 Tm 0.000 0.000 0.500
Lu1 Lu 0.250 0.250 0.750
Sc1 Sc 0.250 0.250 0.250
```

Record 2
Material: SrTb2TmSe4
Method: DFT, PBE
State: optimized geometry

Properties
E	-5.45	eV per atom

```
data_SrTb2TmSe4
_chemical_formula_sum 'Sr1 Tb2 Tm1 Se4'
_cell_length_a 7.188
_cell_length_b 4.124
_cell_length_c 7.204
_cell_angle_alpha 90.00
_cell_angle_beta 109.04
_cell_angle_gamma 90.00
_space_group_name_H-M_alt 'P 1 2/m 1'
_space_group_IT_number 10
_space_group_name_Hall '-P 2y'
loop_
_atom_site_label
_atom_site_type_symbol
_atom_site_fract_x
_atom_site_fract_y
_atom_site_fract_z
Sr1 Sr 0.000 0.000 0.000
Tb1 Tb 0.000 0.500 0.500
Tb2 Tb 0.500 0.000 0.500
Tm1 Tm 0.500 0.500 0.000
Se1 Se 0.260 0.000 0.751
Se2 Se 0.263 0.500 0.258
```

Record 3
Material: Li6ZnCd8
Method: DFT, PBE
State: optimized geometry

Properties
E	-1.43	eV per atom

```
data_Li6ZnCd8
_chemical_formula_sum 'Li18 Zn3 Cd24'
_cell_length_a 8.4752
_cell_length_b 8.4752
_cell_length_c 14.3374
_cell_angle_alpha 90.00
_cell_angle_beta 90.00
_cell_angle_gamma 120.00
_space_group_name_H-M_alt 'R -3'
_space_group_IT_number 148
_space_group_name_Hall '-R 3'
loop_
_atom_site_label
_atom_site_type_symbol
_atom_site_fract_x
_atom_site_fract_y
_atom_site_fract_z
Li1 Li 0.0016 0.3303 0.9998
Zn1 Zn 0.0000 0.0000 0.0000
Cd1 Cd 0.0000 0.0000 0.3729
Cd2 Cd 0.0845 0.5434 0.8339
```

Record 4
Material: TlCuO
Method: DFT, PBE
State: optimized geometry

Properties
offset from the most stable computed form	1.28	eV per formula unit

```
data_TlCuO
_chemical_formula_sum 'Tl2 Cu2 O2'
_cell_length_a 4.323
_cell_length_b 4.323
_cell_length_c 6.383
_cell_angle_alpha 90.00
_cell_angle_beta 90.00
_cell_angle_gamma 90.00
_space_group_name_H-M_alt 'I 4 m m'
_space_group_IT_number 107
_space_group_name_Hall 'I 4 -2'
loop_
_atom_site_label
_atom_site_type_symbol
_atom_site_fract_x
_atom_site_fract_y
_atom_site_fract_z
Tl1 Tl 0.000 0.000 0.000
Cu1 Cu 0.000 0.000 0.613
O1 O 0.000 0.000 0.334
```

Record 5
Material: Ti12MnIn6
Method: DFT, PBE
State: optimized geometry

Properties
E	-6.33	eV per atom

```
data_Ti12MnIn6
_chemical_formula_sum 'Ti36 Mn3 In18'
_cell_length_a 10.1060
_cell_length_b 10.1060
_cell_length_c 11.9252
_cell_angle_alpha 90.00
_cell_angle_beta 90.00
_cell_angle_gamma 120.00
_space_group_name_H-M_alt 'R -3'
_space_group_IT_number 148
_space_group_name_Hall '-R 3'
loop_
_atom_site_label
_atom_site_type_symbol
_atom_site_fract_x
_atom_site_fract_y
_atom_site_fract_z
Ti1 Ti 0.0462 0.8701 0.3068
Ti2 Ti 0.0623 0.2002 0.9078
Mn1 Mn 0.0000 0.0000 0.5000
In1 In 0.0305 0.5941 0.2142
```

Record 6
Material: Ni2Br3Cl
Method: DFT, PBE
State: optimized geometry

Properties
E	-3.47	eV per atom

```
data_Ni2Br3Cl
_chemical_formula_sum 'Ni4 Br6 Cl2'
_cell_length_a 7.2677
_cell_length_b 7.2677
_cell_length_c 6.7131
_cell_angle_alpha 90.00
_cell_angle_beta 90.00
_cell_angle_gamma 120.00
_space_group_name_H-M_alt 'P -3 m 1'
_space_group_IT_number 164
_space_group_name_Hall '-P 3 2"'
loop_
_atom_site_label
_atom_site_type_symbol
_atom_site_fract_x
_atom_site_fract_y
_atom_site_fract_z
Ni1 Ni 0.0000 0.0000 0.0000
Ni2 Ni 0.0000 0.5000 0.0000
Br1 Br 0.1660 0.3321 0.7867
Cl1 Cl 0.3333 0.6667 0.1814
```

| no. | theoretical density (g cm⁻³) |
| --- | --- |
| 1 | 7.2 |
| 2 | 7.3 |
| 3 | 5.6 |
| 4 | 7.9 |
| 5 | 6.2 |
| 6 | 4.2 |